Density functional theory data (GGA-PBEsol) for a relaxed HgC3S crystal.

Geometry as POSCAR:
```
HgC3S
1.0
4.2464 0.0000 0.0000
0.0000 4.2464 0.0000
0.0000 0.0000 4.2464
Hg C S
1 3 1
direct
0.0000 0.0000 0.0000
0.0000 0.0000 0.5000
0.0000 0.5000 0.0000
0.5000 0.0000 0.0000
0.5000 0.5000 0.5000
```

Its space group is No. 221. The calculation puts the total moment at 0.514 μB/atom. The value obtained for the density of states at the Fermi level is 2.84 states/eV/f.u. For the calculated volume, the calculation gives 77 Å³ per cell. The calculation puts the uncorrected formation energy at 18.357 eV/f.u. The value obtained for the total energy is -3.11 eV per atom.